Computed, not measured: a relaxed TaVN2O crystal at the PBE with a Hubbard U level of DFT.

extended XYZ file:
```
5
Lattice="4.086 0.000 0.000 0.000 4.086 0.000 0.000 0.000 3.840" Properties=species:S:1:pos:R:3 pbc="T T T"
Ta 0.000 0.000 0.000
V 2.043 2.043 1.920
N 0.000 2.043 0.000
N 2.043 0.000 0.000
O 0.000 0.000 1.920
```

The total energy is -8.45 eV per atom. The volume is 64.1 Å³ per cell. As for the space group: P4/mmm (123).